Pm3MgGe3 | the Alexandria database | PBE-GGA | optimized geometry; energy relative to the elements = -0.52 eV per atom; magnetization = 0.00 μB/cell
1.0
-4.8753 -2.1739 5.0518
6.7678 -2.4165 1.5401
1.3123 6.1538 3.9257
Pm Mg Ge
6 2 6
Direct
0.6241 0.6241 0.3429
0.1639 0.8361 0.5000
0.8361 0.1639 0.5000
0.2273 0.7727 0.0000
0.7727 0.2273 0.0000
0.3759 0.3759 0.6571
0.7291 0.7291 0.9059
0.2709 0.2709 0.0941
0.9400 0.9400 0.1770
0.8378 0.5074 0.6915
0.5074 0.8378 0.6915
0.1622 0.4926 0.3085
0.4926 0.1622 0.3085
0.0600 0.0600 0.8230

***

LiDyScTl | the Alexandria database | PBE-GGA | optimized geometry; energy relative to the elements = -0.18 eV per atom; magnetization = 0.00 μB/cell
1.0
-1.3280 0.2934 -4.9527
3.3848 -1.2756 -3.6462
-0.6704 -4.2936 -2.7376
Sc Tl Li Dy
1 1 1 1
Direct
0.2500 0.2500 0.2500
0.5000 0.5000 0.5000
0.0000 0.0000 0.0000
0.7500 0.7500 0.7500

***

ScAlCu2 | the Alexandria database | PBE-GGA | optimized geometry; energy relative to the elements = -0.23 eV per atom; magnetization = 0.00 μB/cell
1.0
-3.5492 -0.4274 2.5644
-2.4955 -0.8082 -3.5322
3.6019 -2.4347 0.7747
Sc Al Cu
1 1 2
Direct
0.4999 0.5001 0.0000
0.7500 0.2500 0.5000
0.0001 0.9999 0.0000
0.2500 0.7500 0.5000

***

ScBr3F | the Alexandria database | PBE-GGA | optimized geometry; formation energy (no corrections) = -1.113 eV/atom; magnetization = 1.00 μB/cell; offset from the most stable computed form = 0.0 meV/atom
1.0
5.2550 0.0000 0.0000
0.0000 5.2550 0.0000
0.0000 0.0000 5.2550
Sc Br F
1 3 1
Direct
0.0000 0.0000 0.0000
0.0000 0.5000 0.0000
0.0000 0.0000 0.5000
0.5000 0.0000 0.0000
0.5000 0.5000 0.5000

***

BaCu2Ru | the Alexandria database | PBE-GGA | optimized geometry; energy relative to the elements = 0.69 eV per atom; magnetization = 0.97 μB/cell; offset from the most stable computed form = 491.3 meV/atom
1.0
5.7552 0.1366 0.0521
2.4298 5.2189 -0.0521
-3.4252 -3.6976 2.7820
Ba Cu Ru
1 2 1
Direct
0.2500 0.7500 0.5000
0.9570 0.9570 0.0000
0.5430 0.5430 0.0000
0.7500 0.2500 0.5000

***

TiNbI2 | the Alexandria database | PBE-GGA | optimized geometry; formation energy (no corrections) = 0.422 eV/atom; magnetization = 2.45 μB/cell; offset from the most stable computed form = 0.0 meV/atom
1.0
-2.3294 -3.3821 2.7232
-0.8464 0.8426 4.7806
-4.5912 0.8432 1.5780
I Nb Ti
2 1 1
Direct
0.2500 0.2500 0.2500
0.7500 0.7500 0.7500
0.5000 0.5000 0.5000
0.0000 0.0000 0.0000

***

Let's list density of states at the Fermi level in order: 0.4114 0.9420 0.5175 2.5013 1.0904 0.6910 states/eV/atom.